## DyZrS2Br2 (PBE-GGA)

Data for an optimized crystal structure of DyZrS2Br2.

a b c (Å): 3.8529 5.2683 8.8099
angles (deg): 90.00 90.00 90.00
Each line ends with the local moment (μB).
Fractional coordinates of all 6 atoms:
Dy1 0.0000 0.0000 0.8846  0.03
S1 0.5000 0.0000 0.1077  -0.01
S2 0.0000 0.5000 0.9117  0.01
Zr1 0.5000 0.5000 0.1105  0.25
Br1 0.5000 0.0000 0.6530  0.00
Br2 0.0000 0.5000 0.3324  0.01

Computed properties:
- Size of the total moment: 0.5 μB per cell
- Uncorrected energy: -5.819 eV/atom
- Symmetry: Pmm2, No. 25

## Ba2LuFe (PBE-GGA)

Data for an optimized crystal structure of Ba2LuFe.

a b c (Å): 5.6913 5.6913 5.6913
angles (deg): 60.00 60.00 60.00
Fractional coordinates of all 4 atoms:
Lu1 0.5000 0.5000 0.5000
Fe1 0.7500 0.7500 0.7500
Ba1 0.0000 0.0000 0.0000
Ba2 0.2500 0.2500 0.2500

Computed properties:
- Size of the total moment: 0.0 μB per cell
- Uncorrected energy: -3.276 eV/atom
- Symmetry: F-43m, No. 216